Ta2Sn2I | the Alexandria database | PBE | relaxed; space-group type = I4/mmm
1.0
-1.2936 -3.9087 -0.7245
0.4982 -0.9153 4.0486
-6.8777 -0.4956 2.8926
I Sn Ta
1 2 2
direct
0.0000 0.0000 0.0000 I
0.7500 0.2500 0.5000 Sn
0.2500 0.7500 0.5000 Sn
0.3989 0.3989 0.2022 Ta
0.6011 0.6011 0.7978 Ta

Ta2SnI | the Alexandria database | PBE | relaxed; space-group type = I-42d
1.0
7.8081 0.0000 0.0000
0.0000 7.8081 0.0000
3.9040 3.9040 3.0448
I Sn Ta
2 2 4
direct
0.0000 0.0000 0.0000 I
0.7500 0.2500 0.5000 I
0.5000 0.5000 0.0000 Sn
0.2500 0.7500 0.5000 Sn
0.6486 0.1250 0.2500 Ta
0.1014 0.6250 0.2500 Ta
0.3750 0.3514 0.7500 Ta
0.8750 0.8986 0.7500 Ta

TaSn2I | the Alexandria database | PBE | relaxed; space-group type = Fm-3m
1.0
0.0000 3.6806 3.6806
3.6806 0.0000 3.6806
3.6806 3.6806 0.0000
I Sn Ta
1 2 1
direct
0.0000 0.0000 0.0000 I
0.2500 0.2500 0.2500 Sn
0.7500 0.7500 0.7500 Sn
0.5000 0.5000 0.5000 Ta

TaSn2I | the Alexandria database | PBE | relaxed; space-group type = I-42d
1.0
-2.2483 4.7280 4.1696
-6.2174 -2.3940 -0.6379
-3.1143 -3.2263 7.3507
I Sn Ta
2 4 2
direct
0.5000 0.5000 0.0000 I
0.2500 0.7500 0.5000 I
0.7028 0.1250 0.2500 Sn
0.0472 0.6250 0.2500 Sn
0.3750 0.2972 0.7500 Sn
0.8750 0.9528 0.7500 Sn
0.0000 0.0000 0.0000 Ta
0.7500 0.2500 0.5000 Ta

TaSn3I | the Alexandria database | PBE | relaxed; space-group type = Pm-3m
1.0
-4.0946 -1.1737 -3.6817
3.8617 -1.4399 -3.8356
-0.1420 -5.3148 1.8523
I Sn Ta
1 3 1
direct
0.0000 0.0000 0.0000 I
0.0000 0.5000 0.0000 Sn
0.0000 0.0000 0.5000 Sn
0.5000 0.0000 0.0000 Sn
0.5000 0.5000 0.5000 Ta

Ta2SnI | the Alexandria database | PBE | relaxed; space-group type = Fm-3m
1.0
0.0000 3.4366 3.4366
3.4366 0.0000 3.4366
3.4366 3.4366 0.0000
I Sn Ta
1 1 2
direct
0.5000 0.5000 0.5000 I
0.0000 0.0000 0.0000 Sn
0.2500 0.2500 0.2500 Ta
0.7500 0.7500 0.7500 Ta

| no. | ΔE_f (raw) (eV per atom) |
| --- | --- |
| 1 | 0.741 |
| 2 | 1.207 |
| 3 | 0.907 |
| 4 | 0.887 |
| 5 | 1.806 |
| 6 | 0.635 |